Record 1
{"formula": "CoPCl2", "functional": "PBE", "state": "optimized geometry", "crystal_system": "orthorhombic", "sg": "No. 44", "formation_energy_uncorrected_ev_per_atom": -0.1727, "dos_at_fermi_per_ev_cell": 1.798, "relative_energy_mev_per_atom": 415, "lattice": [[8.306, 1.648, -0.466], [6.233, 5.731, 0.466], [-7.122, -3.981, 2.314]], "species": ["Cl", "Cl", "Co", "P"], "frac_coords": [[0.859, 0.859, 0.000], [0.635, 0.135, 0.500], [0.539, 0.539, 0.000], [0.467, 0.967, 0.500]]}



Record 2
{"formula": "CoPCl2", "functional": "PBE", "state": "optimized geometry", "crystal_system": "trigonal", "sg": "No. 166", "formation_energy_uncorrected_ev_per_atom": 0.5272, "dos_at_fermi_per_ev_cell": 4.281, "relative_energy_mev_per_atom": 1115, "lattice": [[1.805, 0.000, 8.649], [-0.903, 1.563, 8.649], [-0.903, -1.563, 8.649]], "species": ["P", "Co", "Cl", "Cl"], "frac_coords": [[0.500, 0.500, 0.500], [0.000, 0.000, 0.000], [0.918, 0.918, 0.918], [0.082, 0.082, 0.082]]}



Record 3
{"formula": "CoPCl2", "functional": "PBE", "state": "optimized geometry", "crystal_system": "monoclinic", "sg": "No. 12", "formation_energy_uncorrected_ev_per_atom": 0.4493, "dos_at_fermi_per_ev_cell": 4.818, "relative_energy_mev_per_atom": 1037, "lattice": [[4.599, 0.041, 0.009], [-0.927, 4.505, 0.009], [1.836, 2.273, 3.501]], "species": ["Cl", "Cl", "Co", "P"], "frac_coords": [[0.000, 0.000, 0.000], [0.500, 0.500, 0.000], [0.500, 0.000, 0.500], [0.000, 0.500, 0.500]]}



Record 4
{"formula": "CoPCl2", "functional": "PBE", "state": "optimized geometry", "crystal_system": "monoclinic", "sg": "No. 8", "formation_energy_uncorrected_ev_per_atom": -0.5879, "relative_energy_mev_per_atom": 0, "lattice": [[-1.012, 0.184, 3.212], [-3.289, 0.174, 0.725], [0.096, -8.173, -0.054]], "species": ["P", "Co", "Cl", "Cl"], "frac_coords": [[0.879, 0.879, 0.668], [0.533, 0.533, 0.546], [0.906, 0.906, 0.917], [0.182, 0.182, 0.369]]}



Record 5
{"formula": "CoP2Cl", "functional": "PBE", "state": "optimized geometry", "crystal_system": "orthorhombic", "sg": "No. 44", "formation_energy_uncorrected_ev_per_atom": -0.0198, "dos_at_fermi_per_ev_cell": 2.104, "relative_energy_mev_per_atom": 167, "lattice": [[6.795, 0.047, 0.000], [5.126, 4.461, 0.000], [-5.884, -2.457, 2.349]], "species": ["Cl", "Co", "P", "P"], "frac_coords": [[0.405, 0.405, 0.000], [0.254, 0.754, 0.500], [0.116, 0.116, 0.000], [0.725, 0.225, 0.500]]}



Record 6
{"formula": "Co3PCl", "functional": "PBE", "state": "optimized geometry", "crystal_system": "cubic", "sg": "No. 221", "formation_energy_uncorrected_ev_per_atom": 0.5066, "dos_at_fermi_per_ev_cell": 6.560, "relative_energy_mev_per_atom": 0, "lattice": [[-3.159, -2.406, 1.569], [2.816, -3.054, 0.987], [0.566, 1.765, 3.846]], "species": ["P", "Co", "Co", "Co", "Cl"], "frac_coords": [[0.000, 0.000, 0.000], [0.000, 0.500, 0.000], [0.000, 0.000, 0.500], [0.500, 0.000, 0.000], [0.500, 0.500, 0.500]]}



Record 7
{"formula": "Co2PCl", "functional": "PBE", "state": "optimized geometry", "crystal_system": "orthorhombic", "sg": "No. 71", "formation_energy_uncorrected_ev_per_atom": 0.2014, "dos_at_fermi_per_ev_cell": 4.551, "relative_energy_mev_per_atom": 422, "lattice": [[4.934, 0.029, -0.027], [-0.742, 4.878, 0.027], [-0.297, -3.991, 2.887]], "species": ["Cl", "Co", "Co", "P"], "frac_coords": [[0.250, 0.750, 0.500], [0.953, 0.953, 0.000], [0.547, 0.547, 0.000], [0.750, 0.250, 0.500]]}



Record 8
{"formula": "CoPCl2", "functional": "PBE", "state": "optimized geometry", "crystal_system": "monoclinic", "sg": "No. 6", "formation_energy_uncorrected_ev_per_atom": -0.1336, "dos_at_fermi_per_ev_cell": 1.134, "relative_energy_mev_per_atom": 454, "lattice": [[3.405, 0.000, 0.000], [0.000, 4.703, 0.035], [0.000, 1.495, 6.168]], "species": ["Cl", "Cl", "Co", "P"], "frac_coords": [[0.000, 0.057, 0.888], [0.500, 0.377, 0.351], [0.000, 0.420, 0.605], [0.500, 0.646, 0.657]]}



Record 9
{"formula": "CoPCl4", "functional": "PBE", "state": "optimized geometry", "crystal_system": "cubic", "sg": "No. 216", "formation_energy_uncorrected_ev_per_atom": 1.3307, "dos_at_fermi_per_ev_cell": 10.744, "lattice": [[0.000, 4.079, 4.079], [4.079, 0.000, 4.079], [4.079, 4.079, 0.000]], "species": ["Co", "P", "Cl", "Cl", "Cl", "Cl"], "frac_coords": [[0.750, 0.750, 0.750], [0.000, 0.000, 0.000], [0.872, 0.376, 0.376], [0.376, 0.376, 0.872], [0.376, 0.872, 0.376], [0.376, 0.376, 0.376]]}



Record 10
{"formula": "Co2PCl", "functional": "PBE", "state": "optimized geometry", "crystal_system": "tetragonal", "sg": "No. 119", "formation_energy_uncorrected_ev_per_atom": 0.4447, "dos_at_fermi_per_ev_cell": 5.100, "relative_energy_mev_per_atom": 665, "lattice": [[-4.192, 0.205, -5.043], [-3.117, -4.078, -4.087], [1.917, 1.821, 6.005]], "species": ["Cl", "Co", "Co", "P"], "frac_coords": [[0.750, 0.250, 0.500], [0.000, 0.000, 0.000], [0.250, 0.750, 0.500], [0.500, 0.500, 0.000]]}



Record 11
{"formula": "CoPCl2", "functional": "PBE", "state": "optimized geometry", "crystal_system": "cubic", "sg": "No. 216", "formation_energy_uncorrected_ev_per_atom": 0.8086, "dos_at_fermi_per_ev_cell": 5.759, "relative_energy_mev_per_atom": 1397, "lattice": [[-2.203, -1.867, -3.483], [3.777, 0.188, -2.484], [0.041, -2.073, 4.021]], "species": ["Cl", "Cl", "Co", "P"], "frac_coords": [[0.000, 0.000, 0.000], [0.250, 0.750, 0.500], [0.500, 0.500, 0.000], [0.750, 0.250, 0.500]]}



Record 12
{"formula": "CoP4Cl", "functional": "PBE", "state": "optimized geometry", "crystal_system": "cubic", "sg": "No. 216", "formation_energy_uncorrected_ev_per_atom": 0.6121, "dos_at_fermi_per_ev_cell": 4.828, "lattice": [[-1.770, -5.010, -1.504], [-4.610, -2.081, 2.218], [-4.558, -0.510, -3.077]], "species": ["Co", "P", "P", "P", "P", "Cl"], "frac_coords": [[0.000, 0.000, 0.000], [0.601, 0.601, 0.198], [0.601, 0.198, 0.601], [0.601, 0.601, 0.601], [0.198, 0.601, 0.601], [0.250, 0.250, 0.250]]}



Record 13
{"formula": "Co2PCl", "functional": "PBE", "state": "optimized geometry", "crystal_system": "trigonal", "sg": "No. 160", "formation_energy_uncorrected_ev_per_atom": -0.0228, "dos_at_fermi_per_ev_cell": 4.054, "relative_energy_mev_per_atom": 198, "lattice": [[-1.813, -7.381, 0.502], [1.612, -7.441, 0.227], [0.143, -6.873, 3.282]], "species": ["Cl", "Co", "Co", "P"], "frac_coords": [[0.713, 0.713, 0.713], [0.989, 0.989, 0.989], [0.246, 0.246, 0.246], [0.552, 0.552, 0.552]]}



Record 14
{"formula": "Co2PCl", "functional": "PBE", "state": "optimized geometry", "crystal_system": "orthorhombic", "sg": "No. 65", "formation_energy_uncorrected_ev_per_atom": 0.0663, "dos_at_fermi_per_ev_cell": 2.403, "relative_energy_mev_per_atom": 287, "lattice": [[2.973, 0.007, 0.000], [-0.991, 2.803, 0.000], [0.000, 0.000, 6.424]], "species": ["Cl", "Co", "Co", "P"], "frac_coords": [[0.500, 0.500, 0.750], [0.000, 0.000, 0.051], [0.000, 0.000, 0.449], [0.500, 0.500, 0.250]]}



Record 15
{"formula": "CoPCl2", "functional": "PBE", "state": "optimized geometry", "crystal_system": "orthorhombic", "sg": "No. 65", "formation_energy_uncorrected_ev_per_atom": 0.8158, "dos_at_fermi_per_ev_cell": 5.043, "relative_energy_mev_per_atom": 1404, "lattice": [[-3.674, 2.741, 0.768], [-2.382, -2.294, -3.265], [-1.019, -1.961, 2.121]], "species": ["Cl", "Cl", "Co", "P"], "frac_coords": [[0.000, 0.000, 0.000], [0.500, 0.500, 0.000], [0.500, 0.000, 0.500], [0.000, 0.500, 0.500]]}



Record 16
{"formula": "CoP2Cl", "functional": "PBE", "state": "optimized geometry", "crystal_system": "monoclinic", "sg": "No. 8", "formation_energy_uncorrected_ev_per_atom": -0.1584, "dos_at_fermi_per_ev_cell": 0.949, "relative_energy_mev_per_atom": 29, "lattice": [[-3.143, -0.104, 2.707], [-4.126, -0.350, -0.260], [-1.345, -6.935, 1.021]], "species": ["Cl", "Co", "P", "P"], "frac_coords": [[0.599, 0.599, 0.392], [0.199, 0.199, 0.141], [0.926, 0.926, 0.083], [0.776, 0.776, 0.884]]}



Record 17
{"formula": "Co2PCl", "functional": "PBE", "state": "optimized geometry", "crystal_system": "monoclinic", "sg": "No. 12", "formation_energy_uncorrected_ev_per_atom": -0.2206, "dos_at_fermi_per_ev_cell": 1.065, "relative_energy_mev_per_atom": 0, "lattice": [[-1.046, 2.754, 1.683], [-2.696, -0.191, 2.051], [2.152, -0.516, 5.524]], "species": ["Cl", "Co", "Co", "P"], "frac_coords": [[0.250, 0.250, 0.250], [0.029, 0.029, 0.918], [0.471, 0.471, 0.582], [0.750, 0.750, 0.750]]}



Record 18
{"formula": "Co2PCl", "functional": "PBE", "state": "optimized geometry", "crystal_system": "orthorhombic", "sg": "No. 44", "formation_energy_uncorrected_ev_per_atom": -0.2041, "dos_at_fermi_per_ev_cell": 3.433, "relative_energy_mev_per_atom": 16, "lattice": [[-0.950, 1.552, -6.139], [-1.194, -1.654, -6.069], [-3.023, 0.225, -0.228]], "species": ["Cl", "Co", "Co", "P"], "frac_coords": [[0.197, 0.197, 0.929], [0.009, 0.009, 0.116], [0.837, 0.837, 0.788], [0.458, 0.458, 0.667]]}



Record 19
{"formula": "Co2PCl", "functional": "PBE", "state": "optimized geometry", "crystal_system": "cubic", "sg": "No. 216", "formation_energy_uncorrected_ev_per_atom": 0.9015, "dos_at_fermi_per_ev_cell": 5.932, "relative_energy_mev_per_atom": 1122, "lattice": [[-4.151, -0.937, -0.299], [-2.209, -1.040, 3.498], [-2.913, 2.696, 1.563]], "species": ["Cl", "Co", "Co", "P"], "frac_coords": [[0.500, 0.500, 0.500], [0.000, 0.000, 0.000], [0.250, 0.250, 0.250], [0.750, 0.750, 0.750]]}



Record 20
{"formula": "CoPCl2", "functional": "PBE", "state": "optimized geometry", "crystal_system": "trigonal", "sg": "No. 160", "formation_energy_uncorrected_ev_per_atom": -0.2472, "relative_energy_mev_per_atom": 341, "lattice": [[-7.376, -3.714, 1.279], [-6.257, -5.367, -1.370], [-5.282, -6.256, 1.674]], "species": ["Cl", "Cl", "Co", "P"], "frac_coords": [[0.031, 0.031, 0.031], [0.210, 0.210, 0.210], [0.484, 0.484, 0.484], [0.775, 0.775, 0.775]]}



Record 21
{"formula": "CoP2Cl", "functional": "PBE", "state": "optimized geometry", "crystal_system": "tetragonal", "sg": "No. 139", "formation_energy_uncorrected_ev_per_atom": 0.4541, "dos_at_fermi_per_ev_cell": 5.749, "relative_energy_mev_per_atom": 641, "lattice": [[6.933, 0.424, 0.000], [5.085, 4.731, 0.000], [-6.009, -2.578, 2.343]], "species": ["Cl", "Co", "P", "P"], "frac_coords": [[0.250, 0.750, 0.500], [0.750, 0.250, 0.500], [0.000, 0.000, 0.000], [0.500, 0.500, 0.000]]}



Record 22
{"formula": "CoP2Cl", "functional": "PBE", "state": "optimized geometry", "crystal_system": "cubic", "sg": "No. 225", "formation_energy_uncorrected_ev_per_atom": 0.8285, "dos_at_fermi_per_ev_cell": 2.911, "relative_energy_mev_per_atom": 1016, "lattice": [[-3.724, 1.068, 1.849], [-3.294, 1.321, -2.415], [-3.442, -2.517, -0.496]], "species": ["P", "P", "Co", "Cl"], "frac_coords": [[0.250, 0.250, 0.250], [0.750, 0.750, 0.750], [0.500, 0.500, 0.500], [0.000, 0.000, 0.000]]}



Record 23
{"formula": "Co2PCl", "functional": "PBE", "state": "optimized geometry", "crystal_system": "orthorhombic", "sg": "No. 47", "formation_energy_uncorrected_ev_per_atom": -0.0923, "dos_at_fermi_per_ev_cell": 3.111, "relative_energy_mev_per_atom": 128, "lattice": [[2.805, 0.000, 0.000], [0.000, 2.905, -0.018], [0.000, 0.037, 6.377]], "species": ["Cl", "Co", "Co", "P"], "frac_coords": [[0.500, 0.750, 0.750], [0.000, 0.750, 0.062], [0.000, 0.750, 0.438], [0.500, 0.250, 0.250]]}



Record 24
{"formula": "CoPCl", "functional": "PBE", "state": "optimized geometry", "crystal_system": "cubic", "sg": "No. 216", "formation_energy_uncorrected_ev_per_atom": 0.3274, "dos_at_fermi_per_ev_cell": 2.773, "relative_energy_mev_per_atom": 539, "lattice": [[4.041, 0.000, 0.000], [2.021, 3.500, 0.000], [2.021, 1.167, 3.300]], "species": ["Cl", "Co", "P"], "frac_coords": [[0.500, 0.500, 0.500], [0.750, 0.750, 0.750], [0.000, 0.000, 0.000]]}



Record 25
{"formula": "CoPCl", "functional": "PBE", "state": "optimized geometry", "crystal_system": "tetragonal", "sg": "No. 107", "formation_energy_uncorrected_ev_per_atom": -0.1286, "dos_at_fermi_per_ev_cell": 1.786, "relative_energy_mev_per_atom": 83, "lattice": [[5.666, 0.008, 0.003], [4.073, 3.940, -0.003], [-4.871, -1.969, 2.121]], "species": ["Cl", "Co", "P"], "frac_coords": [[0.995, 0.995, 0.000], [0.217, 0.217, 0.000], [0.788, 0.788, 0.000]]}



Record 26
{"formula": "CoP2Cl", "functional": "PBE", "state": "optimized geometry", "crystal_system": "tetragonal", "sg": "No. 123", "formation_energy_uncorrected_ev_per_atom": 0.4678, "dos_at_fermi_per_ev_cell": 5.654, "relative_energy_mev_per_atom": 655, "lattice": [[3.326, 0.000, 0.000], [0.000, 3.326, 0.000], [0.000, 0.000, 6.584]], "species": ["Cl", "Co", "P", "P"], "frac_coords": [[0.500, 0.000, 0.500], [0.000, 0.500, 0.500], [0.000, 0.000, 0.000], [0.500, 0.500, 0.000]]}



Record 27
{"formula": "Co2PCl", "functional": "PBE", "state": "optimized geometry", "crystal_system": "orthorhombic", "sg": "No. 47", "formation_energy_uncorrected_ev_per_atom": 0.3789, "dos_at_fermi_per_ev_cell": 6.336, "relative_energy_mev_per_atom": 599, "lattice": [[-2.535, -0.449, 1.002], [-0.622, -4.987, -3.804], [1.384, -2.119, 2.551]], "species": ["Cl", "Co", "Co", "P"], "frac_coords": [[0.000, 0.500, 0.500], [0.000, 0.000, 0.000], [0.500, 0.500, 0.000], [0.500, 0.000, 0.500]]}



Record 28
{"formula": "CoPCl2", "functional": "PBE", "state": "optimized geometry", "crystal_system": "orthorhombic", "sg": "No. 71", "formation_energy_uncorrected_ev_per_atom": 0.0825, "dos_at_fermi_per_ev_cell": 1.305, "relative_energy_mev_per_atom": 670, "lattice": [[-1.983, 4.947, -5.547], [0.276, 1.200, -7.593], [-1.399, -3.936, 6.459]], "species": ["Cl", "Cl", "Co", "P"], "frac_coords": [[0.886, 0.886, 0.000], [0.614, 0.614, 0.000], [0.750, 0.250, 0.500], [0.250, 0.750, 0.500]]}



Record 29
{"formula": "CoPCl2", "functional": "PBE", "state": "optimized geometry", "crystal_system": "monoclinic", "sg": "No. 12", "formation_energy_uncorrected_ev_per_atom": -0.0447, "dos_at_fermi_per_ev_cell": 1.660, "relative_energy_mev_per_atom": 543, "lattice": [[7.691, 0.059, 0.083], [7.051, 3.072, 0.083], [0.063, 0.013, 3.690]], "species": ["Cl", "Cl", "Co", "P"], "frac_coords": [[0.885, 0.885, 0.033], [0.615, 0.615, 0.467], [0.250, 0.250, 0.250], [0.750, 0.750, 0.750]]}



Record 30
{"formula": "CoPCl", "functional": "PBE", "state": "optimized geometry", "crystal_system": "trigonal", "sg": "No. 156", "formation_energy_uncorrected_ev_per_atom": -0.2112, "dos_at_fermi_per_ev_cell": 2.507, "relative_energy_mev_per_atom": 0, "lattice": [[3.334, 0.000, 0.000], [-1.667, 2.888, 0.000], [0.000, 0.000, 5.367]], "species": ["Cl", "Co", "P"], "frac_coords": [[0.000, 0.000, 0.083], [0.667, 0.333, 0.365], [0.333, 0.667, 0.552]]}



Record 31
{"formula": "Co2PCl", "functional": "PBE", "state": "optimized geometry", "crystal_system": "orthorhombic", "sg": "No. 44", "formation_energy_uncorrected_ev_per_atom": -0.0765, "dos_at_fermi_per_ev_cell": 3.267, "relative_energy_mev_per_atom": 144, "lattice": [[-4.194, 4.032, -2.501], [-6.242, 0.547, -0.916], [4.966, -1.400, 3.672]], "species": ["Cl", "Co", "Co", "P"], "frac_coords": [[0.296, 0.796, 0.500], [0.989, 0.989, 0.000], [0.668, 0.168, 0.500], [0.546, 0.546, 0.000]]}